Compound: SiP3O
Source: the Alexandria database
Functional: GGA-PBEsol
Structure: relaxed

ΔE_f (raw) (eV/f.u.): 2.85

Cell lengths 4.0906, 4.0906, 4.0906 Å; angles 90.00, 90.00, 90.00 degrees
Closest atoms and distances in Å follow each position.
Space group Pm-3m (No. 221)
One atom of each set of equivalent atoms:
Si 0.0000 0.0000 0.0000 [1 per cell]  12 P 2.89
P 0.0000 0.5000 0.5000 [3 per cell]  2 O 2.05
O 0.5000 0.5000 0.5000 [1 per cell]  6 P 2.05